Arrangement w

CsHfPt2: optimized geometry, PBE-GGA.

Unit cell a=7.098 b=7.098 c=7.098 alpha=90.00 beta=90.00 gamma=90.00
Space group Fm-3m (No. 225)
Inequivalent atoms, fractional coordinates:
Cs  0.000  0.000  0.000 (multiplicity 4)
Hf  0.000  0.000  0.500 (multiplicity 4)
Pt  0.250  0.250  0.250 (multiplicity 8)

Arrangement x

CsHfPt2: optimized geometry, PBE-GGA.

Unit cell a=7.829 b=7.829 c=8.146 alpha=90.00 beta=90.00 gamma=90.00
Space group I-42d (No. 122)
Inequivalent atoms, fractional coordinates:
Cs  0.000  0.000  0.000 (multiplicity 4)
Hf  0.000  0.000  0.500 (multiplicity 4)
Pt  0.166  0.250  0.625 (multiplicity 8)

Quick ranking, most stable first: arrangement x, arrangement w.

Arrangement w

CsHf3Pt: optimized geometry, PBE-GGA.

Unit cell a=5.125 b=5.125 c=5.125 alpha=90.00 beta=90.00 gamma=90.00
Space group Pm-3m (No. 221)
Inequivalent atoms, fractional coordinates:
Cs  0.000  0.000  0.000 (multiplicity 1)
Hf  0.000  0.000  0.500 (multiplicity 3)
Pt  0.500  0.500  0.500 (multiplicity 1)

Arrangement x

CsHf3Pt: optimized geometry, PBE-GGA.

Unit cell a=5.249 b=5.249 c=5.249 alpha=90.00 beta=90.00 gamma=90.00
Space group Pm-3m (No. 221)
Inequivalent atoms, fractional coordinates:
Cs  0.000  0.000  0.000 (multiplicity 1)
Hf  0.000  0.500  0.500 (multiplicity 3)
Pt  0.500  0.500  0.500 (multiplicity 1)

Quick ranking, most stable first: arrangement x, arrangement w.